Entry 1:
Below is SrHfBi after structural relaxation, with properties calculated at the PBE level.

Calculated values
Crystal system = cubic
Calculated total energy = -4.306 eV/atom
Energy relative to the lowest polymorph listed for this composition = 358 meV/atom
Space-group type = No. 216

Lattice parameters (Å, degrees): 7.600 7.600 7.600 90.00 90.00 90.00
Sites, in units of the cell vectors:
Sr  0.000  0.000  0.000
Sr  0.000  0.500  0.500
Sr  0.500  0.000  0.500
Sr  0.500  0.500  0.000
Hf  0.250  0.250  0.250
Hf  0.250  0.750  0.750
Hf  0.750  0.250  0.750
Hf  0.750  0.750  0.250
Bi  0.250  0.250  0.750
Bi  0.250  0.750  0.250
Bi  0.750  0.250  0.250
Bi  0.750  0.750  0.750

***

Entry 2:
Below is SrHfBi after structural relaxation, with properties calculated at the PBE level.

Calculated values
Crystal system = cubic
Calculated total energy = -4.664 eV/atom
Energy relative to the lowest polymorph listed for this composition = 0 meV/atom
Space-group type = No. 216

Lattice parameters (Å, degrees): 7.470 7.470 7.470 90.00 90.00 90.00
Sites, in units of the cell vectors:
Sr  0.000  0.000  0.000
Sr  0.000  0.500  0.500
Sr  0.500  0.000  0.500
Sr  0.500  0.500  0.000
Hf  0.250  0.250  0.750
Hf  0.250  0.750  0.250
Hf  0.750  0.250  0.250
Hf  0.750  0.750  0.750
Bi  0.000  0.000  0.500
Bi  0.000  0.500  0.000
Bi  0.500  0.000  0.000
Bi  0.500  0.500  0.500

***

Entry 3:
Below is SrHfBi2 after structural relaxation, with properties calculated at the PBE level.

Calculated values
Crystal system = cubic
Calculated total energy = -4.676 eV/atom
Space-group type = No. 216

Lattice parameters (Å, degrees): 7.779 7.779 7.779 90.00 90.00 90.00
Sites, in units of the cell vectors:
Sr  0.000  0.000  0.000
Sr  0.000  0.500  0.500
Sr  0.500  0.000  0.500
Sr  0.500  0.500  0.000
Hf  0.250  0.250  0.250
Hf  0.250  0.750  0.750
Hf  0.750  0.250  0.750
Hf  0.750  0.750  0.250
Bi  0.000  0.000  0.500
Bi  0.000  0.500  0.000
Bi  0.250  0.250  0.750
Bi  0.250  0.750  0.250
Bi  0.500  0.000  0.000
Bi  0.500  0.500  0.500
Bi  0.750  0.250  0.250
Bi  0.750  0.750  0.750

***

Entry 4:
Below is Sr2HfBi after structural relaxation, with properties calculated at the PBE level.

Calculated values
Crystal system = cubic
Calculated total energy = -4.052 eV/atom
Space-group type = No. 216

Lattice parameters (Å, degrees): 7.964 7.964 7.964 90.00 90.00 90.00
Sites, in units of the cell vectors:
Sr  0.000  0.000  0.000
Sr  0.000  0.500  0.500
Sr  0.250  0.250  0.250
Sr  0.250  0.750  0.750
Sr  0.500  0.000  0.500
Sr  0.500  0.500  0.000
Sr  0.750  0.250  0.750
Sr  0.750  0.750  0.250
Hf  0.250  0.250  0.750
Hf  0.250  0.750  0.250
Hf  0.750  0.250  0.250
Hf  0.750  0.750  0.750
Bi  0.000  0.000  0.500
Bi  0.000  0.500  0.000
Bi  0.500  0.000  0.000
Bi  0.500  0.500  0.500

***

Entry 5:
Below is HfTaBi2 after structural relaxation, with properties calculated at the PBE level.

Calculated values
Crystal system = cubic
Calculated total energy = -6.922 eV/atom
Space-group type = No. 216

Lattice parameters (Å, degrees): 7.243 7.243 7.243 90.00 90.00 90.00
Sites, in units of the cell vectors:
Hf  0.000  0.000  0.000
Hf  0.000  0.500  0.500
Hf  0.500  0.000  0.500
Hf  0.500  0.500  0.000
Ta  0.250  0.250  0.750
Ta  0.250  0.750  0.250
Ta  0.750  0.250  0.250
Ta  0.750  0.750  0.750
Bi  0.000  0.000  0.500
Bi  0.000  0.500  0.000
Bi  0.250  0.250  0.250
Bi  0.250  0.750  0.750
Bi  0.500  0.000  0.000
Bi  0.500  0.500  0.500
Bi  0.750  0.250  0.750
Bi  0.750  0.750  0.250

***

Entry 6:
Below is Hf2TaBi after structural relaxation, with properties calculated at the PBE level.

Calculated values
Crystal system = cubic
Calculated total energy = -8.605 eV/atom
Space-group type = No. 216

Lattice parameters (Å, degrees): 6.986 6.986 6.986 90.00 90.00 90.00
Sites, in units of the cell vectors:
Hf  0.000  0.000  0.000
Hf  0.000  0.500  0.500
Hf  0.250  0.250  0.250
Hf  0.250  0.750  0.750
Hf  0.500  0.000  0.500
Hf  0.500  0.500  0.000
Hf  0.750  0.250  0.750
Hf  0.750  0.750  0.250
Ta  0.250  0.250  0.750
Ta  0.250  0.750  0.250
Ta  0.750  0.250  0.250
Ta  0.750  0.750  0.750
Bi  0.000  0.000  0.500
Bi  0.000  0.500  0.000
Bi  0.500  0.000  0.000
Bi  0.500  0.500  0.500

***

Entry 7:
Below is HfTaBi after structural relaxation, with properties calculated at the PBE level.

Calculated values
Crystal system = cubic
Calculated total energy = -7.795 eV/atom
Space-group type = No. 216

Lattice parameters (Å, degrees): 6.774 6.774 6.774 90.00 90.00 90.00
Sites, in units of the cell vectors:
Hf  0.000  0.000  0.000
Hf  0.000  0.500  0.500
Hf  0.500  0.000  0.500
Hf  0.500  0.500  0.000
Ta  0.250  0.250  0.750
Ta  0.250  0.750  0.250
Ta  0.750  0.250  0.250
Ta  0.750  0.750  0.750
Bi  0.000  0.000  0.500
Bi  0.000  0.500  0.000
Bi  0.500  0.000  0.000
Bi  0.500  0.500  0.500

***

Entry 8:
Below is HfTcBi after structural relaxation, with properties calculated at the PBE level.

Calculated values
Crystal system = cubic
Calculated total energy = -7.969 eV/atom
Space-group type = No. 216

Lattice parameters (Å, degrees): 6.485 6.485 6.485 90.00 90.00 90.00
Sites, in units of the cell vectors:
Hf  0.000  0.000  0.000
Hf  0.000  0.500  0.500
Hf  0.500  0.000  0.500
Hf  0.500  0.500  0.000
Tc  0.250  0.250  0.750
Tc  0.250  0.750  0.250
Tc  0.750  0.250  0.250
Tc  0.750  0.750  0.750
Bi  0.000  0.000  0.500
Bi  0.000  0.500  0.000
Bi  0.500  0.000  0.000
Bi  0.500  0.500  0.500

***

Entry 9:
Below is HfTc2Bi after structural relaxation, with properties calculated at the PBE level.

Calculated values
Crystal system = cubic
Calculated total energy = -8.223 eV/atom
Space-group type = No. 216

Lattice parameters (Å, degrees): 6.674 6.674 6.674 90.00 90.00 90.00
Sites, in units of the cell vectors:
Hf  0.000  0.000  0.000
Hf  0.000  0.500  0.500
Hf  0.500  0.000  0.500
Hf  0.500  0.500  0.000
Tc  0.000  0.000  0.500
Tc  0.000  0.500  0.000
Tc  0.250  0.250  0.250
Tc  0.250  0.750  0.750
Tc  0.500  0.000  0.000
Tc  0.500  0.500  0.500
Tc  0.750  0.250  0.750
Tc  0.750  0.750  0.250
Bi  0.250  0.250  0.750
Bi  0.250  0.750  0.250
Bi  0.750  0.250  0.250
Bi  0.750  0.750  0.750

***

Entry 10:
Below is HfTcBi2 after structural relaxation, with properties calculated at the PBE level.

Calculated values
Crystal system = cubic
Calculated total energy = -6.659 eV/atom
Space-group type = No. 216

Lattice parameters (Å, degrees): 7.111 7.111 7.111 90.00 90.00 90.00
Sites, in units of the cell vectors:
Hf  0.000  0.000  0.000
Hf  0.000  0.500  0.500
Hf  0.500  0.000  0.500
Hf  0.500  0.500  0.000
Tc  0.250  0.250  0.750
Tc  0.250  0.750  0.250
Tc  0.750  0.250  0.250
Tc  0.750  0.750  0.750
Bi  0.000  0.000  0.500
Bi  0.000  0.500  0.000
Bi  0.250  0.250  0.250
Bi  0.250  0.750  0.750
Bi  0.500  0.000  0.000
Bi  0.500  0.500  0.500
Bi  0.750  0.250  0.750
Bi  0.750  0.750  0.250

***

Entry 11:
Below is HfTcBi2 after structural relaxation, with properties calculated at the PBE level.

Calculated values
Crystal system = cubic
Calculated total energy = -6.659 eV/atom
Space-group type = No. 216

Lattice parameters (Å, degrees): 7.111 7.111 7.111 90.00 90.00 90.00
Sites, in units of the cell vectors:
Hf  0.000  0.000  0.000
Hf  0.000  0.500  0.500
Hf  0.500  0.000  0.500
Hf  0.500  0.500  0.000
Tc  0.250  0.250  0.750
Tc  0.250  0.750  0.250
Tc  0.750  0.250  0.250
Tc  0.750  0.750  0.750
Bi  0.000  0.000  0.500
Bi  0.000  0.500  0.000
Bi  0.250  0.250  0.250
Bi  0.250  0.750  0.750
Bi  0.500  0.000  0.000
Bi  0.500  0.500  0.500
Bi  0.750  0.250  0.750
Bi  0.750  0.750  0.250

***

Entry 12:
Below is HfBiTe2 after structural relaxation, with properties calculated at the PBE level.

Calculated values
Crystal system = cubic
Calculated total energy = -4.849 eV/atom
Space-group type = No. 216

Lattice parameters (Å, degrees): 7.504 7.504 7.504 90.00 90.00 90.00
Sites, in units of the cell vectors:
Hf  0.000  0.000  0.000
Hf  0.000  0.500  0.500
Hf  0.500  0.000  0.500
Hf  0.500  0.500  0.000
Bi  0.250  0.250  0.750
Bi  0.250  0.750  0.250
Bi  0.750  0.250  0.250
Bi  0.750  0.750  0.750
Te  0.000  0.000  0.500
Te  0.000  0.500  0.000
Te  0.250  0.250  0.250
Te  0.250  0.750  0.750
Te  0.500  0.000  0.000
Te  0.500  0.500  0.500
Te  0.750  0.250  0.750
Te  0.750  0.750  0.250

***

Entry 13:
Below is HfTlBi after structural relaxation, with properties calculated at the PBE level.

Calculated values
Crystal system = cubic
Calculated total energy = -4.703 eV/atom
Space-group type = No. 216

Lattice parameters (Å, degrees): 7.148 7.148 7.148 90.00 90.00 90.00
Sites, in units of the cell vectors:
Hf  0.000  0.000  0.000
Hf  0.000  0.500  0.500
Hf  0.500  0.000  0.500
Hf  0.500  0.500  0.000
Tl  0.250  0.250  0.750
Tl  0.250  0.750  0.250
Tl  0.750  0.250  0.250
Tl  0.750  0.750  0.750
Bi  0.000  0.000  0.500
Bi  0.000  0.500  0.000
Bi  0.500  0.000  0.000
Bi  0.500  0.500  0.500

***

Entry 14:
Below is Hf2TlBi2 after structural relaxation, with properties calculated at the PBE level.

Calculated values
Crystal system = tetragonal
Calculated total energy = -6.099 eV/atom
Space-group type = No. 127

Lattice parameters (Å, degrees): 8.018 8.018 3.966 90.00 90.00 90.00
Sites, in units of the cell vectors:
Hf  0.141  0.359  0.000
Hf  0.359  0.859  0.000
Hf  0.641  0.141  0.000
Hf  0.859  0.641  0.000
Tl  0.000  0.000  0.000
Tl  0.500  0.500  0.000
Bi  0.155  0.655  0.500
Bi  0.345  0.155  0.500
Bi  0.655  0.845  0.500
Bi  0.845  0.345  0.500

***

Entry 15:
Below is HfBiW2 after structural relaxation, with properties calculated at the PBE level.

Calculated values
Crystal system = cubic
Calculated total energy = -9.290 eV/atom
Space-group type = No. 216

Lattice parameters (Å, degrees): 6.769 6.769 6.769 90.00 90.00 90.00
Sites, in units of the cell vectors:
Hf  0.000  0.000  0.000
Hf  0.000  0.500  0.500
Hf  0.500  0.000  0.500
Hf  0.500  0.500  0.000
Bi  0.250  0.250  0.750
Bi  0.250  0.750  0.250
Bi  0.750  0.250  0.250
Bi  0.750  0.750  0.750
W  0.000  0.000  0.500
W  0.000  0.500  0.000
W  0.250  0.250  0.250
W  0.250  0.750  0.750
W  0.500  0.000  0.000
W  0.500  0.500  0.500
W  0.750  0.250  0.750
W  0.750  0.750  0.250